P.
Nd3DyHo4: optimized geometry, PBE.

The space group is Immm (No. 71) and the conventional cell measures 3.478, 11.680 and 13.035 Å, with angles of 90.00, 90.00 and 90.00 degrees. The inequivalent atoms are Nd at (0.000, 0.000, 0.000), Nd at (0.000, 0.500, 0.243), Dy at (0.000, 0.000, 0.500) and Ho at (0.000, 0.246, 0.365).

=====

Q.
Nd3DyHo4: optimized geometry, PBE.

The space group is Pmn2_1 (No. 31) and the conventional cell measures 11.461, 7.312 and 6.301 Å, with angles of 90.00, 90.00 and 90.00 degrees. The inequivalent atoms are Nd at (0.000, 0.127, 0.000), Nd at (0.250, 0.127, 0.335), Dy at (0.000, 0.870, 0.500), Ho at (0.000, 0.378, 0.501), Ho at (0.000, 0.622, 0.002) and Ho at (0.248, 0.622, 0.334).

=====

Result of the stability comparison: P is the least stable of them.

=====

P.
Nd8Dy4Ho3: optimized geometry, PBE.

The space group is R-3m (No. 166, hexagonal axes) and the conventional cell measures 7.0239, 7.0239 and 35.8373 Å, with angles of 90.00, 90.00 and 120.00 degrees. The inequivalent atoms are Nd at (0.0000, 0.0000, 0.2456), Nd at (0.0016, 0.5008, 0.7504), Dy at (0.0000, 0.0000, 0.0000), Dy at (0.0000, 0.0000, 0.3357), Dy at (0.0000, 0.0000, 0.5000) and Ho at (0.0000, 0.5000, 0.5000).

=====

Q.
Nd8Dy4Ho3: optimized geometry, PBE.

The space group is C2/m (No. 12) and the conventional cell measures 13.810, 12.199 and 6.901 Å, with angles of 90.00, 118.26 and 90.00 degrees. The inequivalent atoms are Nd at (0.000, 0.205, 0.000), Nd at (0.000, 0.253, 0.500), Nd at (0.203, 0.000, 0.179), Nd at (0.245, 0.500, 0.283), Dy at (0.000, 0.500, 0.000), Dy at (0.000, 0.500, 0.500), Dy at (0.250, 0.250, 0.000), Ho at (0.000, 0.000, 0.500) and Ho at (0.250, 0.250, 0.500).

=====

Result of the stability comparison: Q is the least stable of them.

=====

P.
NdDy3Ho5: optimized geometry, PBE.

The space group is C2/m (No. 12) and the conventional cell measures 16.777, 7.961 and 12.212 Å, with angles of 90.00, 130.73 and 90.00 degrees. The inequivalent atoms are Nd at (0.237, 0.000, 0.131), Dy at (0.000, 0.000, 0.000), Dy at (0.000, 0.500, 0.500), Dy at (0.119, 0.500, 0.314), Dy at (0.174, 0.000, 0.341), Ho at (0.000, 0.320, 0.000), Ho at (0.064, 0.205, 0.780), Ho at (0.124, 0.000, 0.567) and Ho at (0.200, 0.500, 0.071).

=====

Q.
NdDy3Ho5: optimized geometry, PBE.

The space group is C2/c (No. 15) and the conventional cell measures 19.019, 6.039 and 11.342 Å, with angles of 90.00, 113.43 and 90.00 degrees. The inequivalent atoms are Nd at (0.000, 0.064, 0.250), Dy at (0.000, 0.000, 0.000), Dy at (0.177, 0.235, 0.363), Ho at (0.000, 0.439, 0.750), Ho at (0.163, 0.256, 0.696) and Ho at (0.169, 0.254, 0.029).

=====

Result of the stability comparison: P is the least stable of them.

=====

P.
Nd2DyHo: optimized geometry, PBE.

The space group is Fm-3m (No. 225) and the conventional cell measures 8.115, 8.115 and 8.115 Å, with angles of 90.00, 90.00 and 90.00 degrees. The inequivalent atoms are Nd at (0.250, 0.250, 0.250), Dy at (0.000, 0.000, 0.000) and Ho at (0.000, 0.000, 0.500).

=====

Q.
Nd2DyHo: optimized geometry, PBE.

The space group is Cmmm (No. 65) and the conventional cell measures 7.261, 10.084 and 3.625 Å, with angles of 90.00, 90.00 and 90.00 degrees. The inequivalent atoms are Nd at (0.250, 0.250, 0.000), Dy at (0.000, 0.000, 0.500) and Ho at (0.000, 0.500, 0.500).

=====

R.
Nd2DyHo: optimized geometry, PBE.

The space group is R-3m (No. 166, hexagonal axes) and the conventional cell measures 3.6118, 3.6118 and 35.0693 Å, with angles of 90.00, 90.00 and 120.00 degrees. The inequivalent atoms are Nd at (0.0000, 0.0000, 0.2502), Dy at (0.0000, 0.0000, 0.5000) and Ho at (0.0000, 0.0000, 0.0000).

=====

Result of the stability comparison: P is the least stable of them.

=====

P.
Nd4DyHo6: optimized geometry, PBE.

The space group is P-6m2 (No. 187) and the conventional cell measures 11.0273, 11.0273 and 3.5610 Å, with angles of 90.00, 90.00 and 120.00 degrees. The inequivalent atoms are Nd at (0.0000, 0.0000, 0.0000), Nd at (0.0001, 0.5001, 0.5000), Dy at (0.6667, 0.3333, 0.0000), Ho at (0.1751, 0.3503, 0.0000) and Ho at (0.3080, 0.1540, 0.5000).

=====

Q.
Nd4DyHo6: optimized geometry, PBE.

The space group is I-42m (No. 121) and the conventional cell measures 6.653, 6.653 and 17.009 Å, with angles of 90.00, 90.00 and 90.00 degrees. The inequivalent atoms are Nd at (0.190, 0.190, 0.324), Dy at (0.000, 0.000, 0.500), Ho at (0.000, 0.500, 0.000) and Ho at (0.178, 0.178, 0.125).

=====

Result of the stability comparison: Q is the least stable of them.

=====

P.
NdDy6Ho4: optimized geometry, PBE.

The space group is I-42m (No. 121) and the conventional cell measures 7.599, 7.599 and 13.079 Å, with angles of 90.00, 90.00 and 90.00 degrees. The inequivalent atoms are Nd at (0.000, 0.000, 0.000), Dy at (0.000, 0.500, 0.000), Dy at (0.243, 0.243, 0.187) and Ho at (0.164, 0.164, 0.423).

=====

Q.
NdDy6Ho4: optimized geometry, PBE.

The space group is Cmcm (No. 63) and the conventional cell measures 5.709, 9.600 and 25.620 Å, with angles of 90.00, 90.00 and 90.00 degrees. The inequivalent atoms are Nd at (0.000, 0.191, 0.250), Dy at (0.000, 0.138, 0.681), Dy at (0.000, 0.194, 0.102), Dy at (0.000, 0.474, 0.750), Dy at (0.000, 0.500, 0.000), Ho at (0.000, 0.155, 0.542) and Ho at (0.000, 0.467, 0.621).

=====

Result of the stability comparison: P is the least stable of them.

=====

P.
Nd3Dy7Ho: optimized geometry, PBE.

The space group is P3m1 (No. 156) and the conventional cell measures 7.0781, 7.0781 and 8.6879 Å, with angles of 90.00, 90.00 and 120.00 degrees. The inequivalent atoms are Nd at (0.9999, 0.5000, 0.0000), Dy at (0.1675, 0.3350, 0.3373), Dy at (0.3333, 0.6667, 0.6603), Dy at (0.3350, 0.1675, 0.6623) and Ho at (0.6667, 0.3333, 0.3395).

=====

Q.
Nd3Dy7Ho: optimized geometry, PBE.

The space group is P2/m (No. 10) and the conventional cell measures 6.965, 5.539 and 10.022 Å, with angles of 90.00, 109.43 and 90.00 degrees. The inequivalent atoms are Nd at (0.000, 0.000, 0.000), Nd at (0.281, 0.500, 0.497), Dy at (0.000, 0.000, 0.500), Dy at (0.147, 0.500, 0.789), Dy at (0.322, 0.500, 0.136), Dy at (0.423, 0.000, 0.329) and Ho at (0.500, 0.000, 0.000).

=====

Result of the stability comparison: P is the least stable of them.

=====

P.
Nd3Dy5Ho: optimized geometry, PBE.

The space group is C2/m (No. 12) and the conventional cell measures 15.334, 11.394 and 9.995 Å, with angles of 90.00, 130.39 and 90.00 degrees. The inequivalent atoms are Nd at (0.000, 0.000, 0.000), Nd at (0.000, 0.500, 0.500), Nd at (0.008, 0.000, 0.310), Nd at (0.022, 0.500, 0.861), Dy at (0.000, 0.243, 0.500), Dy at (0.158, 0.249, 0.250), Dy at (0.219, 0.000, 0.727), Dy at (0.223, 0.500, 0.538) and Ho at (0.248, 0.500, 0.899).

=====

Q.
Nd3Dy5Ho: optimized geometry, PBE.

The space group is C2/c (No. 15) and the conventional cell measures 17.582, 6.316 and 11.561 Å, with angles of 90.00, 106.53 and 90.00 degrees. The inequivalent atoms are Nd at (0.000, 0.000, 0.000), Nd at (0.149, 0.330, 0.027), Dy at (0.000, 0.408, 0.250), Dy at (0.169, 0.174, 0.395), Dy at (0.178, 0.272, 0.729) and Ho at (0.000, 0.109, 0.750).

=====

Result of the stability comparison: P is the least stable of them.

=====

P.
NdDy6Ho3: optimized geometry, PBE.

The space group is Cmc2_1 (No. 36) and the conventional cell measures 11.009, 18.932 and 6.181 Å, with angles of 90.00, 90.00 and 90.00 degrees. The inequivalent atoms are Nd at (0.000, 0.206, 0.000), Dy at (0.000, 0.046, 0.235), Dy at (0.000, 0.284, 0.508), Dy at (0.165, 0.454, 0.616), Dy at (0.250, 0.210, 0.283), Ho at (0.000, 0.390, 0.077) and Ho at (0.173, 0.109, 0.691).

=====

Q.
NdDy6Ho3: optimized geometry, PBE.

The space group is R3 (No. 146, hexagonal axes) and the conventional cell measures 9.7946, 9.7946 and 11.7109 Å, with angles of 90.00, 90.00 and 120.00 degrees. The inequivalent atoms are Nd at (0.0000, 0.0000, 0.0000), Dy at (0.0005, 0.3352, 0.6687), Dy at (0.0015, 0.6707, 0.5022), Ho at (0.0000, 0.0000, 0.2506), Ho at (0.0000, 0.0000, 0.4990) and Ho at (0.0000, 0.0000, 0.7448).

=====

Result of the stability comparison: Q is the least stable of them.